A relaxed structure of BeCdSO, computed with PBE.

Electronic total energy, eV/atom: -4.560
Polymorph energy (0 for the lowest one), meV per atom: 314

POSCAR file:
```
BeCdSO
1.0
6.634 0.000 0.000
0.000 11.415 0.000
0.000 0.000 6.453
Be Cd O S
8 8 8 8
Direct
0.330 0.068 0.892
0.170 0.568 0.892
0.170 0.932 0.392
0.670 0.568 0.608
0.330 0.432 0.392
0.830 0.068 0.608
0.830 0.432 0.108
0.670 0.932 0.108
0.420 0.704 0.168
0.080 0.296 0.668
0.920 0.796 0.832
0.080 0.204 0.168
0.580 0.204 0.332
0.580 0.296 0.832
0.420 0.796 0.668
0.920 0.704 0.332
0.712 0.797 0.111
0.288 0.297 0.389
0.788 0.203 0.611
0.712 0.703 0.611
0.288 0.203 0.889
0.212 0.703 0.889
0.788 0.297 0.111
0.212 0.797 0.389
0.602 0.984 0.785
0.398 0.484 0.715
0.898 0.484 0.785
0.602 0.516 0.285
0.102 0.984 0.715
0.398 0.016 0.215
0.898 0.016 0.285
0.102 0.516 0.215
```

=====

A relaxed structure of CuAg7, computed with PBE.

Electronic total energy, eV/atom: -2.902
Energy relative to the elements, kJ/mol of atoms: 3
Polymorph energy (0 for the lowest one), meV per atom: 10

POSCAR file:
```
CuAg7
1.0
-7.406 -16.325 -6.457
-6.527 -17.463 -3.936
-9.134 -16.204 -4.129
Ag Cu
7 1
Direct
0.500 0.500 0.500
0.372 0.372 0.372
0.124 0.124 0.124
0.748 0.748 0.748
0.628 0.628 0.628
0.876 0.876 0.876
0.252 0.252 0.252
0.000 0.000 0.000
```

=====

A relaxed structure of SrGaSiPt2, computed with PBE.

Electronic total energy, eV/atom: -5.360
Polymorph energy (0 for the lowest one), meV per atom: 0

POSCAR file:
```
SrGaSiPt2
1.0
-4.245 0.606 0.918
-0.357 -4.220 1.138
2.394 2.364 9.513
Si Pt Sr Ga
2 4 2 2
Direct
0.000 0.500 0.882
0.500 0.000 0.118
0.500 0.500 0.000
0.000 0.000 0.000
0.500 0.000 0.359
0.000 0.500 0.641
0.500 0.000 0.752
0.000 0.500 0.248
0.000 0.000 0.500
0.500 0.500 0.500
```

=====

A relaxed structure of Cu2Ag3, computed with PBE.

Electronic total energy, eV/atom: -3.091
Energy relative to the elements, kJ/mol of atoms: 9
Polymorph energy (0 for the lowest one), meV per atom: 59

POSCAR file:
```
Cu2Ag3
1.0
1.983 -9.794 0.000
1.983 9.794 0.000
0.000 0.000 3.997
Ag Cu
6 4
Direct
0.346 0.654 0.750
0.154 0.846 0.750
0.951 0.049 0.750
0.049 0.951 0.250
0.846 0.154 0.250
0.654 0.346 0.250
0.250 0.750 0.250
0.548 0.452 0.750
0.452 0.548 0.250
0.750 0.250 0.750
```

=====

A relaxed structure of GdHoAg2Te4, computed with PBE.

Electronic total energy, eV/atom: -4.351

POSCAR file:
```
GdHoAg2Te4
1.0
5.030 -5.044 0.000
5.030 5.044 0.000
0.000 0.000 4.729
Ho Ag Te Gd
1 2 4 1
Direct
0.500 0.500 0.805
0.500 0.000 0.001
0.000 0.500 0.001
0.796 0.204 0.711
0.700 0.700 0.289
0.300 0.300 0.289
0.204 0.796 0.711
0.000 0.000 0.195
```

=====

A relaxed structure of Tb2DyIn3NiAg2, computed with PBE.

Electronic total energy, eV/atom: -4.158

POSCAR file:
```
Tb2DyIn3NiAg2
1.0
-3.145 0.497 2.261
-0.567 -7.685 0.899
4.237 4.181 4.975
Tb Ag Dy Ni In
2 2 1 1 3
Direct
0.000 0.000 0.601
0.000 0.601 0.000
0.500 0.666 0.334
0.500 0.334 0.666
0.000 0.399 0.399
0.000 0.000 0.000
0.500 0.247 0.000
0.500 0.000 0.247
0.500 0.753 0.753
```

=====

A relaxed structure of NaCdAsO, computed with PBE.

Electronic total energy, eV/atom: -3.121
Polymorph energy (0 for the lowest one), meV per atom: 432

POSCAR file:
```
NaCdAsO
1.0
4.252 0.000 0.000
0.000 4.252 0.000
0.000 0.000 7.257
O As Cd Na
2 2 2 2
Direct
0.750 0.250 0.000
0.250 0.750 0.000
0.750 0.750 0.225
0.250 0.250 0.775
0.250 0.750 0.500
0.750 0.250 0.500
0.250 0.250 0.145
0.750 0.750 0.855
```

=====

A relaxed structure of BaYGa4Pt2, computed with PBE.

Electronic total energy, eV/atom: -4.774

POSCAR file:
```
BaYGa4Pt2
1.0
7.091 0.000 0.000
0.000 2.201 5.335
0.000 -2.201 5.335
Ga Pt Y Ba
4 2 1 1
Direct
0.817 0.356 0.356
0.183 0.356 0.356
0.704 0.643 0.643
0.296 0.643 0.643
0.500 0.204 0.204
0.000 0.793 0.793
0.000 0.081 0.081
0.500 0.925 0.925
```

=====

A relaxed structure of Gd2NbCoSi2, computed with PBE.

Electronic total energy, eV/atom: -6.785

POSCAR file:
```
Gd2NbCoSi2
1.0
-1.989 -3.431 0.220
1.030 -0.352 3.819
-6.106 3.667 1.985
Gd Nb Si Co
2 1 2 1
Direct
0.000 0.500 0.656
0.500 0.000 0.344
0.500 0.500 0.000
0.000 0.500 0.221
0.500 0.000 0.779
0.000 0.000 0.000
```

=====

A relaxed structure of LiHg3Te4Pt, computed with PBE.

Electronic total energy, eV/atom: -2.431

POSCAR file:
```
LiHg3Te4Pt
1.0
-3.171 0.872 5.678
3.041 -5.248 2.504
4.873 3.841 2.132
Pt Te Hg Li
1 4 3 1
Direct
0.500 0.500 0.500
0.755 0.245 0.755
0.245 0.755 0.755
0.755 0.755 0.245
0.245 0.245 0.245
0.500 0.500 0.000
0.000 0.500 0.500
0.500 0.000 0.500
0.000 0.000 0.000
```

=====

A relaxed structure of CsZnFeS3, computed with PBE.

Electronic total energy, eV/atom: -4.438
Polymorph energy (0 for the lowest one), meV per atom: 0

POSCAR file:
```
CsZnFeS3
1.0
-0.335 -10.926 1.458
0.708 0.449 3.532
-15.013 0.848 2.903
Zn S Cs Fe
4 12 4 4
Direct
0.259 0.250 0.248
0.759 0.250 0.252
0.241 0.750 0.748
0.741 0.750 0.752
0.219 0.750 0.159
0.281 0.250 0.659
0.566 0.750 0.669
0.934 0.250 0.169
0.066 0.750 0.831
0.434 0.250 0.331
0.070 0.250 0.332
0.930 0.750 0.668
0.781 0.250 0.841
0.570 0.250 0.168
0.430 0.750 0.832
0.719 0.750 0.341
0.752 0.750 0.025
0.248 0.250 0.975
0.252 0.750 0.475
0.748 0.250 0.525
0.467 0.250 0.737
0.533 0.750 0.263
0.033 0.750 0.237
0.967 0.250 0.763
```

=====

A relaxed structure of LiNdTh, computed with PBE.

Electronic total energy, eV/atom: -4.097
Polymorph energy (0 for the lowest one), meV per atom: 0

POSCAR file:
```
LiNdTh
1.0
0.000 3.567 3.567
3.567 0.000 3.567
3.567 3.567 0.000
Th Nd Li
1 1 1
Direct
0.750 0.750 0.750
0.250 0.250 0.250
0.000 0.000 0.000
```

=====

A relaxed structure of HfNb2As, computed with PBE.

Electronic total energy, eV/atom: -8.784

POSCAR file:
```
HfNb2As
1.0
0.000 3.307 3.307
3.307 0.000 3.307
3.307 3.307 0.000
Nb As Hf
2 1 1
Direct
0.750 0.750 0.750
0.000 0.000 0.000
0.500 0.500 0.500
0.250 0.250 0.250
```

=====

A relaxed structure of KPmSn, computed with PBE.

Electronic total energy, eV/atom: -3.228
Polymorph energy (0 for the lowest one), meV per atom: 0

POSCAR file:
```
KPmSn
1.0
0.000 3.800 3.800
3.800 0.000 3.800
3.800 3.800 0.000
Pm K Sn
1 1 1
Direct
0.000 0.000 0.000
0.250 0.250 0.250
0.750 0.750 0.750
```

=====

A relaxed structure of Gd2Ir2O5, computed with PBE.

Electronic total energy, eV/atom: -7.473
Polymorph energy (0 for the lowest one), meV per atom: 0

POSCAR file:
```
Gd2Ir2O5
1.0
7.036 0.000 0.000
0.000 3.924 0.000
0.000 0.000 3.924
O Gd Ir
5 2 2
Direct
0.250 0.500 0.000
0.750 0.500 0.000
0.750 0.000 0.500
0.500 0.500 0.500
0.250 0.000 0.500
0.000 0.000 0.000
0.500 0.000 0.000
0.191 0.500 0.500
0.809 0.500 0.500
```

=====

A relaxed structure of YMgAu2, computed with PBE.

Electronic total energy, eV/atom: -4.334

POSCAR file:
```
YMgAu2
1.0
-2.586 -3.188 -5.029
5.658 1.937 -4.137
3.511 -5.996 1.996
Au Y Mg
8 4 4
Direct
0.451 0.046 0.796
0.049 0.454 0.296
0.549 0.546 0.204
0.451 0.454 0.796
0.549 0.954 0.204
0.951 0.954 0.704
0.049 0.046 0.296
0.951 0.546 0.704
0.316 0.750 0.522
0.816 0.250 0.978
0.684 0.250 0.478
0.184 0.750 0.022
0.822 0.750 0.397
0.322 0.250 0.103
0.678 0.750 0.897
0.178 0.250 0.603
```

=====

A relaxed structure of TaTcBiAu, computed with PBE.

Electronic total energy, eV/atom: -6.857
Polymorph energy (0 for the lowest one), meV per atom: 43

POSCAR file:
```
TaTcBiAu
1.0
-1.839 -2.679 3.507
-4.365 0.956 1.700
-3.627 -2.976 -0.917
Bi Tc Au Ta
1 1 1 1
Direct
0.500 0.500 0.500
0.250 0.250 0.250
0.750 0.750 0.750
0.000 0.000 0.000
```

=====

A relaxed structure of PrHg2Pd2, computed with PBE.

Electronic total energy, eV/atom: -3.577
Energy relative to the elements, kJ/mol of atoms: -42
Polymorph energy (0 for the lowest one), meV per atom: 0

POSCAR file:
```
PrHg2Pd2
1.0
1.984 3.383 -1.555
-3.676 2.060 -0.209
1.739 -0.529 6.788
Hg Pd Pr
2 2 1
Direct
0.250 0.750 0.500
0.750 0.250 0.500
0.602 0.602 0.204
0.398 0.398 0.796
0.000 0.000 0.000
```

=====

A relaxed structure of YHo2S3, computed with PBE.

Electronic total energy, eV/atom: -6.649

POSCAR file:
```
YHo2S3
1.0
3.888 0.000 0.000
-1.944 3.367 0.000
0.000 0.000 9.536
Y Ho S
1 2 3
Direct
0.000 0.000 0.000
0.667 0.333 0.334
0.333 0.667 0.666
0.000 0.000 0.500
0.333 0.667 0.169
0.667 0.333 0.831
```

=====

A relaxed structure of Pr3Cd3AgPd2, computed with PBE.

Electronic total energy, eV/atom: -3.933
Energy relative to the elements, kJ/mol of atoms: -56

POSCAR file:
```
Pr3Cd3AgPd2
1.0
7.892 0.000 0.000
-3.946 6.835 0.000
0.000 0.000 4.039
Pr Cd Ag Pd
3 3 1 2
Direct
0.413 0.413 0.000
0.587 0.000 0.000
0.000 0.587 0.000
0.742 0.742 0.500
0.258 0.000 0.500
0.000 0.258 0.500
0.000 0.000 0.000
0.667 0.333 0.500
0.333 0.667 0.500
```